(1)
YNiPb2: optimized geometry, PBE-GGA.

Size of the total moment = 0.04 μB/f.u.
Mass density = 9.569 g cm⁻³
Distance to the lowest polymorph of the same formula = 0.000 eV per atom
Symmetry = No. 216

a b c (Å): 5.1666 5.1666 5.1666
angles (deg): 60.00 60.00 60.00
Sites, in units of the cell vectors:
Y  0.0000  0.0000  0.0000
Ni  0.2500  0.2500  0.2500
Pb  0.5000  0.5000  0.5000
Pb  0.7500  0.7500  0.7500

(2)
Y5NiPb3: optimized geometry, PBE-GGA.

Size of the total moment = 0.04 μB/f.u.
Mass density = 7.581 g cm⁻³
Total energy = -6.009 eV/atom
Symmetry = No. 193

a b c (Å): 9.1948 9.1948 6.7299
angles (deg): 90.00 90.00 120.00
Sites, in units of the cell vectors:
Y  0.0000  0.2393  0.2500
Y  0.0000  0.7607  0.7500
Y  0.2393  0.0000  0.2500
Y  0.2393  0.2393  0.7500
Y  0.3333  0.6667  0.0000
Y  0.3333  0.6667  0.5000
Y  0.6667  0.3333  0.0000
Y  0.6667  0.3333  0.5000
Y  0.7607  0.0000  0.7500
Y  0.7607  0.7607  0.2500
Ni  0.0000  0.0000  0.0000
Ni  0.0000  0.0000  0.5000
Pb  0.0000  0.3990  0.7500
Pb  0.0000  0.6010  0.2500
Pb  0.3990  0.0000  0.7500
Pb  0.3990  0.3990  0.2500
Pb  0.6010  0.0000  0.2500
Pb  0.6010  0.6010  0.7500

(3)
Zr5NiPb3: optimized geometry, PBE-GGA.

Size of the total moment = 0.01 μB/f.u.
Mass density = 9.511 g cm⁻³
Total energy = -6.925 eV/atom
Symmetry = No. 193

a b c (Å): 8.7784 8.7784 5.9460
angles (deg): 90.00 90.00 120.00
Sites, in units of the cell vectors:
Zr  0.0000  0.2485  0.2500
Zr  0.0000  0.7515  0.7500
Zr  0.2485  0.0000  0.2500
Zr  0.2485  0.2485  0.7500
Zr  0.3333  0.6667  0.0000
Zr  0.3333  0.6667  0.5000
Zr  0.6667  0.3333  0.0000
Zr  0.6667  0.3333  0.5000
Zr  0.7515  0.0000  0.7500
Zr  0.7515  0.7515  0.2500
Ni  0.0000  0.0000  0.0000
Ni  0.0000  0.0000  0.5000
Pb  0.0000  0.3924  0.7500
Pb  0.0000  0.6076  0.2500
Pb  0.3924  0.0000  0.7500
Pb  0.3924  0.3924  0.2500
Pb  0.6076  0.0000  0.2500
Pb  0.6076  0.6076  0.7500

(4)
ZrNiPb2: optimized geometry, PBE-GGA.

Size of the total moment = 0.00 μB/f.u.
Mass density = 10.271 g cm⁻³
Total energy = -5.035 eV/atom
Symmetry = No. 216

a b c (Å): 5.0531 5.0531 5.0531
angles (deg): 60.00 60.00 60.00
Sites, in units of the cell vectors:
Zr  0.0000  0.0000  0.0000
Ni  0.2500  0.2500  0.2500
Pb  0.5000  0.5000  0.5000
Pb  0.7500  0.7500  0.7500

(5)
NiPd2: optimized geometry, PBE-GGA.

Size of the total moment = 1.36 μB/f.u.
Mass density = 10.523 g cm⁻³
Formation energy = 0.0606 eV per atom
Symmetry = No. 20

a b c (Å): 6.4927 6.4927 9.0018
angles (deg): 90.00 90.00 115.41
Sites, in units of the cell vectors:
Ni  0.1228  0.2226  0.2231
Ni  0.1647  0.7405  0.8787
Ni  0.2226  0.1228  0.7769
Ni  0.2595  0.8353  0.6213
Ni  0.7405  0.1647  0.1213
Ni  0.7774  0.8772  0.2769
Ni  0.8353  0.2595  0.3787
Ni  0.8772  0.7774  0.7231
Pd  0.0236  0.6157  0.1728
Pd  0.0978  0.3455  0.9581
Pd  0.1080  0.1080  0.5000
Pd  0.2855  0.5476  0.4191
Pd  0.3455  0.0978  0.0419
Pd  0.3843  0.9764  0.3272
Pd  0.4311  0.5689  0.7500
Pd  0.4524  0.7145  0.0809
Pd  0.5476  0.2855  0.5809
Pd  0.5689  0.4311  0.2500
Pd  0.6157  0.0236  0.8272
Pd  0.6545  0.9022  0.5419
Pd  0.7145  0.4524  0.9191
Pd  0.8920  0.8920  0.0000
Pd  0.9022  0.6545  0.4581
Pd  0.9764  0.3843  0.6728

(6)
Ni2Pd: optimized geometry, PBE-GGA.

Size of the total moment = 1.48 μB/f.u.
Mass density = 9.935 g cm⁻³
Formation energy = 0.0335 eV per atom
Symmetry = No. 194

a b c (Å): 4.7385 4.7385 15.3891
angles (deg): 90.00 90.00 120.00
Sites, in units of the cell vectors:
Ni  0.0000  0.5000  0.0000
Ni  0.0000  0.5000  0.5000
Ni  0.1633  0.3267  0.2500
Ni  0.1633  0.8367  0.2500
Ni  0.3267  0.1633  0.7500
Ni  0.3333  0.6667  0.1265
Ni  0.3333  0.6667  0.3735
Ni  0.5000  0.0000  0.0000
Ni  0.5000  0.0000  0.5000
Ni  0.5000  0.5000  0.0000
Ni  0.5000  0.5000  0.5000
Ni  0.6667  0.3333  0.6265
Ni  0.6667  0.3333  0.8735
Ni  0.6733  0.8367  0.2500
Ni  0.8367  0.1633  0.7500
Ni  0.8367  0.6733  0.7500
Pd  0.0000  0.0000  0.0931
Pd  0.0000  0.0000  0.4069
Pd  0.0000  0.0000  0.5931
Pd  0.0000  0.0000  0.9069
Pd  0.3333  0.6667  0.6558
Pd  0.3333  0.6667  0.8442
Pd  0.6667  0.3333  0.1558
Pd  0.6667  0.3333  0.3442

(7)
Ni2Pd: optimized geometry, PBE-GGA.

Size of the total moment = 2.10 μB/f.u.
Mass density = 6.967 g cm⁻³
Formation energy = 1.1188 eV per atom
Symmetry = No. 136

a b c (Å): 5.2625 5.2625 3.8521
angles (deg): 90.00 90.00 90.00
Sites, in units of the cell vectors:
Ni  0.1853  0.1853  0.0000
Ni  0.3147  0.6853  0.5000
Ni  0.6853  0.3147  0.5000
Ni  0.8147  0.8147  0.0000
Pd  0.0000  0.0000  0.5000
Pd  0.5000  0.5000  0.0000

(8)
Ni2Pd: optimized geometry, PBE-GGA.

Size of the total moment = 1.72 μB/f.u.
Mass density = 9.066 g cm⁻³
Formation energy = 0.3919 eV per atom
Symmetry = No. 140

a b c (Å): 4.7487 4.7487 4.7487
angles (deg): 107.11 107.11 114.31
Sites, in units of the cell vectors:
Ni  0.1415  0.6415  0.7830
Ni  0.3585  0.1415  0.5000
Ni  0.6415  0.8585  0.5000
Ni  0.8585  0.3585  0.2170
Pd  0.2500  0.2500  0.0000
Pd  0.7500  0.7500  0.0000

(9)
NiPd2: optimized geometry, PBE-GGA.

Size of the total moment = 1.02 μB/f.u.
Mass density = 9.605 g cm⁻³
Formation energy = 0.4634 eV per atom
Symmetry = No. 227

a b c (Å): 5.1015 5.1015 5.1015
angles (deg): 60.00 60.00 60.00
Sites, in units of the cell vectors:
Ni  0.1250  0.1250  0.1250
Ni  0.8750  0.8750  0.8750
Pd  0.0000  0.5000  0.5000
Pd  0.5000  0.0000  0.5000
Pd  0.5000  0.5000  0.0000
Pd  0.5000  0.5000  0.5000

(10)
Ni5Pd: optimized geometry, PBE-GGA.

Size of the total moment = 3.06 μB/f.u.
Mass density = 9.350 g cm⁻³
Formation energy = 0.1370 eV per atom
Symmetry = No. 216

a b c (Å): 4.6483 4.6483 4.6483
angles (deg): 60.00 60.00 60.00
Sites, in units of the cell vectors:
Ni  0.0000  0.0000  0.0000
Ni  0.3747  0.3747  0.3747
Ni  0.3747  0.3747  0.8758
Ni  0.3747  0.8758  0.3747
Ni  0.8758  0.3747  0.3747
Pd  0.7500  0.7500  0.7500

(11)
Ni3Pd2: optimized geometry, PBE-GGA.

Size of the total moment = 2.79 μB/f.u.
Mass density = 8.852 g cm⁻³
Formation energy = 0.3824 eV per atom
Symmetry = No. 164

a b c (Å): 4.0804 4.0804 5.0601
angles (deg): 90.00 90.00 120.00
Sites, in units of the cell vectors:
Ni  0.0000  0.0000  0.0000
Ni  0.3333  0.6667  0.6371
Ni  0.6667  0.3333  0.3629
Pd  0.3333  0.6667  0.1553
Pd  0.6667  0.3333  0.8447

(12)
PmNiPd: optimized geometry, PBE-GGA.

Size of the total moment = 0.00 μB/f.u.
Mass density = 8.267 g cm⁻³
Formation energy = -0.3394 eV per atom
Distance to the lowest polymorph of the same formula = 0.000 eV per atom
Symmetry = No. 216

a b c (Å): 4.4495 4.4495 4.4495
angles (deg): 60.00 60.00 60.00
Sites, in units of the cell vectors:
Pm  0.0000  0.0000  0.0000
Ni  0.7500  0.7500  0.7500
Pd  0.5000  0.5000  0.5000